Entry 1:
Y2SbTe PBE relaxed; E_tot = -93.23 eV for the cell shown; energy relative to the elements, uncorrected = -0.779 eV/atom; density = 4.30 g/cm³; relative energy among the computed polymorphs = 2.024 eV per formula unit
1.0
6.896 0.000 0.000
0.000 6.896 0.000
0.000 0.000 13.861
Y Sb Te
8 4 4
Cartesian
1.677 1.724 1.733
1.724 5.125 5.198
1.724 5.219 12.129
1.771 1.724 8.663
5.125 5.172 8.663
5.172 1.677 12.129
5.172 1.771 5.198
5.219 5.172 1.733
0.000 0.000 0.000
0.000 3.448 3.465
3.448 0.000 10.396
3.448 3.448 6.931
0.000 0.000 6.931
0.000 3.448 10.396
3.448 0.000 3.465
3.448 3.448 0.000

=====

Entry 2:
Y2SbTe PBE relaxed; E_tot = -96.79 eV for the cell shown; energy relative to the elements, uncorrected = -1.001 eV/atom; density = 6.44 g/cm³; relative energy among the computed polymorphs = 1.134 eV per formula unit
1.0
7.609 0.000 0.000
0.000 7.609 0.000
0.000 0.000 7.609
Y Sb Te
8 4 4
Cartesian
1.902 1.902 1.902
1.902 1.902 5.707
1.902 5.707 1.902
1.902 5.707 5.707
5.707 1.902 1.902
5.707 1.902 5.707
5.707 5.707 1.902
5.707 5.707 5.707
0.000 0.000 0.000
0.000 3.804 3.804
3.804 0.000 3.804
3.804 3.804 0.000
0.000 0.000 3.804
0.000 3.804 0.000
3.804 0.000 0.000
3.804 3.804 3.804

=====

Entry 3:
YSbTe2 PBE relaxed; E_tot = -39.13 eV for the cell shown; energy relative to the elements, uncorrected = -0.673 eV/atom; density = 5.21 g/cm³
1.0
4.550 0.000 0.000
0.000 4.577 0.000
0.000 0.000 14.246
Y Sb Te
2 2 4
Cartesian
0.000 0.000 0.000
2.275 2.289 7.123
0.000 0.000 7.123
2.275 2.289 0.000
0.000 2.289 4.974
0.000 2.289 9.272
2.275 0.000 2.149
2.275 0.000 12.097

=====

Question: Look up the energy relative to the elements, uncorrected of the first one.
Answer: -0.779 eV/atom

=====

Question: Which formula does entry 3 have?
Answer: YSbTe2